[1]
# Th4GeSb | the Alexandria database | PBE | optimized geometry
# **Excess energy over the best structure of this formula in the dataset**: 0.0 meV per atom
# **Formation energy (no corrections)**: -334 kJ/mol of formula units
# **SG**: No. 124
# **Density of states at the Fermi level**: 5.8 states/eV/f.u.
data_Th4GeSb
_chemical_formula_sum 'Th8 Ge2 Sb2'
_cell_length_a 6.224
_cell_length_b 7.537
_cell_length_c 7.537
_cell_angle_alpha 90.00
_cell_angle_beta 90.00
_cell_angle_gamma 90.00
_space_group_name_H-M_alt 'P 1'
_space_group_IT_number 1
_space_group_name_Hall 'P 1'
loop_
_atom_site_label
_atom_site_fract_x
_atom_site_fract_y
_atom_site_fract_z
Th1 0.000 0.170 0.652
Th2 0.000 0.652 0.830
Th3 0.500 0.652 0.170
Th4 0.000 0.830 0.348
Th5 0.500 0.348 0.830
Th6 0.000 0.348 0.170
Th7 0.500 0.830 0.652
Th8 0.500 0.170 0.348
Sb1 0.250 0.000 0.000
Sb2 0.750 0.000 0.000
Ge1 0.250 0.500 0.500
Ge2 0.750 0.500 0.500

***

[2]
# KHfB | the Alexandria database | PBE | optimized geometry
# **Excess energy over the best structure of this formula in the dataset**: 1693.0 meV per atom
# **Formation enthalpy at 0 K**: 4.87 eV per formula unit
# **SG**: No. 194
# **Density of states at the Fermi level**: 3.8 states/eV/f.u.
data_KHfB
_chemical_formula_sum 'K2 Hf2 B2'
_cell_length_a 5.314
_cell_length_b 5.314
_cell_length_c 8.878
_cell_angle_alpha 90.00
_cell_angle_beta 90.00
_cell_angle_gamma 120.00
_space_group_name_H-M_alt 'P 1'
_space_group_IT_number 1
_space_group_name_Hall 'P 1'
loop_
_atom_site_label
_atom_site_fract_x
_atom_site_fract_y
_atom_site_fract_z
B1 0.000 0.000 0.750
B2 0.000 0.000 0.250
K1 0.667 0.333 0.750
K2 0.333 0.667 0.250
Hf1 0.000 0.000 0.000
Hf2 0.000 0.000 0.500